Entry 1:
The following is a GGA-PBE calculation of a relaxed structure of Tb7Pr3Th2, from Alexandria via LeMat-Bulk.

Structure (CIF):
```
data_Tb7Pr3Th2
_chemical_formula_sum 'Tb7 Pr3 Th2'
_space_group_name_H-M_alt 'P 1 2/m 1'
_space_group_IT_number 10
_space_group_name_Hall '-P 2y'
_cell_length_a 3.650
_cell_length_b 5.694
_cell_length_c 20.711
_cell_angle_alpha 90.00
_cell_angle_beta 95.07
_cell_angle_gamma 90.00
loop_
_atom_site_label
_atom_site_type_symbol
_atom_site_fract_x
_atom_site_fract_y
_atom_site_fract_z
_atom_site_occupancy
Tb1 Tb 0.000 0.000 0.000 1
Tb2 Tb 0.068 0.500 0.135 1
Tb3 Tb 0.285 0.500 0.570 1
Tb4 Tb 0.416 0.000 0.832 1
Pr1 Pr 0.172 0.000 0.343 1
Pr2 Pr 0.500 0.500 0.000 1
Th1 Th 0.362 0.500 0.725 1
```

Total magnetization (μB per atom): 0.000
Energy of formation from the pure elements (eV per atom): 0.2793
Fermi-level density of states (states/eV/cell): 21.6

---

Entry 2:
The following is a GGA-PBE calculation of a relaxed structure of Tb3Pr4Th, from Alexandria via LeMat-Bulk.

Structure (CIF):
```
data_Tb3Pr4Th
_chemical_formula_sum 'Tb6 Pr8 Th2'
_space_group_name_H-M_alt 'I m m m'
_space_group_IT_number 71
_space_group_name_Hall '-I 2 2'
_cell_length_a 5.113
_cell_length_b 5.148
_cell_length_c 20.746
_cell_angle_alpha 90.00
_cell_angle_beta 90.00
_cell_angle_gamma 90.00
loop_
_atom_site_label
_atom_site_type_symbol
_atom_site_fract_x
_atom_site_fract_y
_atom_site_fract_z
_atom_site_occupancy
Tb1 Tb 0.000 0.000 0.000 1
Tb2 Tb 0.000 0.500 0.121 1
Pr1 Pr 0.000 0.000 0.251 1
Pr2 Pr 0.000 0.500 0.379 1
Th1 Th 0.000 0.000 0.500 1
```

Total magnetization (μB per atom): 0.000
Energy of formation from the pure elements (eV per atom): 0.0314
Distance to the lowest polymorph of the same formula (meV/atom): 0.0
Fermi-level density of states (states/eV/cell): 24.1

---

Entry 3:
The following is a GGA-PBE calculation of a relaxed structure of Tb12Pr7Th, from Alexandria via LeMat-Bulk.

Structure (CIF):
```
data_Tb12Pr7Th
_chemical_formula_sum 'Tb36 Pr21 Th3'
_space_group_name_H-M_alt 'R -3 m'
_space_group_IT_number 166
_space_group_name_Hall '-R 3 2"'
_cell_length_a 13.4400
_cell_length_b 13.4400
_cell_length_c 12.9081
_cell_angle_alpha 90.00
_cell_angle_beta 90.00
_cell_angle_gamma 120.00
loop_
_atom_site_label
_atom_site_type_symbol
_atom_site_fract_x
_atom_site_fract_y
_atom_site_fract_z
_atom_site_occupancy
Tb1 Tb 0.0000 0.2598 0.0000 1
Tb2 Tb 0.0430 0.5215 0.1179 1
Pr1 Pr 0.0000 0.0000 0.5000 1
Pr2 Pr 0.0889 0.1778 0.7700 1
Th1 Th 0.0000 0.0000 0.0000 1
```

Total magnetization (μB per atom): 0.000
Energy of formation from the pure elements (eV per atom): 0.0856
Fermi-level density of states (states/eV/cell): 92.4

---

Entry 4:
The following is a GGA-PBE calculation of a relaxed structure of Tb5Pr4Th2, from Alexandria via LeMat-Bulk.

Structure (CIF):
```
data_Tb5Pr4Th2
_chemical_formula_sum 'Tb5 Pr4 Th2'
_space_group_name_H-M_alt 'P -1'
_space_group_IT_number 2
_space_group_name_Hall '-P 1'
_cell_length_a 3.622
_cell_length_b 9.578
_cell_length_c 10.863
_cell_angle_alpha 86.10
_cell_angle_beta 89.99
_cell_angle_gamma 79.23
loop_
_atom_site_label
_atom_site_type_symbol
_atom_site_fract_x
_atom_site_fract_y
_atom_site_fract_z
_atom_site_occupancy
Tb1 Tb 0.000 0.000 0.000 1
Tb2 Tb 0.274 0.452 0.361 1
Tb3 Tb 0.451 0.097 0.267 1
Pr1 Pr 0.089 0.822 0.455 1
Pr2 Pr 0.361 0.278 0.825 1
Th1 Th 0.183 0.633 0.907 1
```

Total magnetization (μB per atom): 0.000
Energy of formation from the pure elements (eV per atom): 0.0296
Fermi-level density of states (states/eV/cell): 15.3

---

Entry 5:
The following is a GGA-PBE calculation of a relaxed structure of Tb4PrTh4, from Alexandria via LeMat-Bulk.

Structure (CIF):
```
data_Tb4PrTh4
_chemical_formula_sum 'Tb8 Pr2 Th8'
_space_group_name_H-M_alt 'I 4/m m m'
_space_group_IT_number 139
_space_group_name_Hall '-I 4 2'
_cell_length_a 10.754
_cell_length_b 10.754
_cell_length_c 5.061
_cell_angle_alpha 90.00
_cell_angle_beta 90.00
_cell_angle_gamma 90.00
loop_
_atom_site_label
_atom_site_type_symbol
_atom_site_fract_x
_atom_site_fract_y
_atom_site_fract_z
_atom_site_occupancy
Tb1 Tb 0.171 0.171 0.000 1
Pr1 Pr 0.000 0.000 0.500 1
Th1 Th 0.000 0.337 0.500 1
```

Total magnetization (μB per atom): 0.000
Energy of formation from the pure elements (eV per atom): 0.0415
Fermi-level density of states (states/eV/cell): 27.3

---

Entry 6:
The following is a GGA-PBE calculation of a relaxed structure of TbPrTh2, from Alexandria via LeMat-Bulk.

Structure (CIF):
```
data_TbPrTh2
_chemical_formula_sum 'Tb3 Pr3 Th6'
_space_group_name_H-M_alt 'R -3 m'
_space_group_IT_number 166
_space_group_name_Hall '-R 3 2"'
_cell_length_a 3.5233
_cell_length_b 3.5233
_cell_length_c 37.4754
_cell_angle_alpha 90.00
_cell_angle_beta 90.00
_cell_angle_gamma 120.00
loop_
_atom_site_label
_atom_site_type_symbol
_atom_site_fract_x
_atom_site_fract_y
_atom_site_fract_z
_atom_site_occupancy
Tb1 Tb 0.0000 0.0000 0.0000 1
Pr1 Pr 0.0000 0.0000 0.5000 1
Th1 Th 0.0000 0.0000 0.4115 1
```

Total magnetization (μB per atom): 0.000
Energy of formation from the pure elements (eV per atom): 0.1962
Distance to the lowest polymorph of the same formula (meV/atom): 166.2
Fermi-level density of states (states/eV/cell): 17.3

---

Entry 7:
The following is a GGA-PBE calculation of a relaxed structure of Tb7Pr2Th4, from Alexandria via LeMat-Bulk.

Structure (CIF):
```
data_Tb7Pr2Th4
_chemical_formula_sum 'Tb7 Pr2 Th4'
_space_group_name_H-M_alt 'P -3 1 m'
_space_group_IT_number 162
_space_group_name_Hall '-P 3 2'
_cell_length_a 6.1142
_cell_length_b 6.1142
_cell_length_c 13.4072
_cell_angle_alpha 90.00
_cell_angle_beta 90.00
_cell_angle_gamma 120.00
loop_
_atom_site_label
_atom_site_type_symbol
_atom_site_fract_x
_atom_site_fract_y
_atom_site_fract_z
_atom_site_occupancy
Tb1 Tb 0.0000 0.0000 0.0000 1
Tb2 Tb 0.0000 0.3632 0.2189 1
Pr1 Pr 0.3333 0.6667 0.0000 1
Th1 Th 0.0000 0.0000 0.3908 1
Th2 Th 0.3333 0.6667 0.5000 1
```

Total magnetization (μB per atom): 0.000
Energy of formation from the pure elements (eV per atom): 0.2227
Fermi-level density of states (states/eV/cell): 19.2

---

Entry 8:
The following is a GGA-PBE calculation of a relaxed structure of Tb5PrTmTh2, from Alexandria via LeMat-Bulk.

Structure (CIF):
```
data_Tb5PrTmTh2
_chemical_formula_sum 'Tb20 Pr4 Tm4 Th8'
_space_group_name_H-M_alt 'I 4/m c m'
_space_group_IT_number 140
_space_group_name_Hall '-I 4 2c'
_cell_length_a 8.907
_cell_length_b 8.907
_cell_length_c 15.260
_cell_angle_alpha 90.00
_cell_angle_beta 90.00
_cell_angle_gamma 90.00
loop_
_atom_site_label
_atom_site_type_symbol
_atom_site_fract_x
_atom_site_fract_y
_atom_site_fract_z
_atom_site_occupancy
Tb1 Tb 0.000 0.000 0.000 1
Tb2 Tb 0.208 0.292 0.137 1
Pr1 Pr 0.000 0.000 0.250 1
Tm1 Tm 0.000 0.500 0.250 1
Th1 Th 0.119 0.381 0.500 1
```

Total magnetization (μB per atom): 0.000
Energy of formation from the pure elements (eV per atom): 0.3352
Fermi-level density of states (states/eV/cell): 51.4

---

Entry 9:
The following is a GGA-PBE calculation of a relaxed structure of TbPr5Tm2Th, from Alexandria via LeMat-Bulk.

Structure (CIF):
```
data_TbPr5Tm2Th
_chemical_formula_sum 'Tb4 Pr20 Tm8 Th4'
_space_group_name_H-M_alt 'C m c m'
_space_group_IT_number 63
_space_group_name_Hall '-C 2c 2'
_cell_length_a 5.443
_cell_length_b 21.684
_cell_length_c 10.673
_cell_angle_alpha 90.00
_cell_angle_beta 90.00
_cell_angle_gamma 90.00
loop_
_atom_site_label
_atom_site_type_symbol
_atom_site_fract_x
_atom_site_fract_y
_atom_site_fract_z
_atom_site_occupancy
Tb1 Tb 0.000 0.101 0.250 1
Pr1 Pr 0.000 0.000 0.000 1
Pr2 Pr 0.000 0.125 0.750 1
Pr3 Pr 0.000 0.222 0.057 1
Pr4 Pr 0.000 0.497 0.250 1
Tm1 Tm 0.000 0.387 0.506 1
Th1 Th 0.000 0.287 0.750 1
```

Total magnetization (μB per atom): 0.000
Energy of formation from the pure elements (eV per atom): 0.1423
Fermi-level density of states (states/eV/cell): 51.0

---

Entry 10:
The following is a GGA-PBE calculation of a relaxed structure of TbPr2TmTh, from Alexandria via LeMat-Bulk.

Structure (CIF):
```
data_TbPr2TmTh
_chemical_formula_sum 'Tb2 Pr4 Tm2 Th2'
_space_group_name_H-M_alt 'P 1 2/c 1'
_space_group_IT_number 13
_space_group_name_Hall '-P 2yc'
_cell_length_a 8.618
_cell_length_b 6.339
_cell_length_c 6.420
_cell_angle_alpha 90.00
_cell_angle_beta 90.57
_cell_angle_gamma 90.00
loop_
_atom_site_label
_atom_site_type_symbol
_atom_site_fract_x
_atom_site_fract_y
_atom_site_fract_z
_atom_site_occupancy
Tb1 Tb 0.000 0.000 0.000 1
Pr1 Pr 0.311 0.288 0.247 1
Tm1 Tm 0.500 0.193 0.750 1
Th1 Th 0.000 0.449 0.750 1
```

Total magnetization (μB per atom): 0.000
Energy of formation from the pure elements (eV per atom): 0.3107
Fermi-level density of states (states/eV/cell): 13.8

---

Entry 11:
The following is a GGA-PBE calculation of a relaxed structure of Tb3PrTmTh, from Alexandria via LeMat-Bulk.

Structure (CIF):
```
data_Tb3PrTmTh
_chemical_formula_sum 'Tb6 Pr2 Tm2 Th2'
_space_group_name_H-M_alt 'P 1 21/m 1'
_space_group_IT_number 11
_space_group_name_Hall '-P 2yb'
_cell_length_a 8.002
_cell_length_b 5.072
_cell_length_c 10.140
_cell_angle_alpha 90.00
_cell_angle_beta 108.81
_cell_angle_gamma 90.00
loop_
_atom_site_label
_atom_site_type_symbol
_atom_site_fract_x
_atom_site_fract_y
_atom_site_fract_z
_atom_site_occupancy
Tb1 Tb 0.171 0.250 0.044 1
Tb2 Tb 0.176 0.250 0.543 1
Tb3 Tb 0.178 0.750 0.293 1
Pr1 Pr 0.169 0.750 0.793 1
Tm1 Tm 0.499 0.750 0.128 1
Th1 Th 0.498 0.250 0.378 1
```

Total magnetization (μB per atom): 0.000
Energy of formation from the pure elements (eV per atom): 0.0284
Fermi-level density of states (states/eV/cell): 17.9

---

Entry 12:
The following is a GGA-PBE calculation of a relaxed structure of Tb2Pr5TmTh, from Alexandria via LeMat-Bulk.

Structure (CIF):
```
data_Tb2Pr5TmTh
_chemical_formula_sum 'Tb8 Pr20 Tm4 Th4'
_space_group_name_H-M_alt 'C m c m'
_space_group_IT_number 63
_space_group_name_Hall '-C 2c 2'
_cell_length_a 5.449
_cell_length_b 21.828
_cell_length_c 10.661
_cell_angle_alpha 90.00
_cell_angle_beta 90.00
_cell_angle_gamma 90.00
loop_
_atom_site_label
_atom_site_type_symbol
_atom_site_fract_x
_atom_site_fract_y
_atom_site_fract_z
_atom_site_occupancy
Tb1 Tb 0.000 0.112 0.005 1
Pr1 Pr 0.000 0.002 0.750 1
Pr2 Pr 0.000 0.278 0.558 1
Pr3 Pr 0.000 0.373 0.250 1
Pr4 Pr 0.000 0.500 0.000 1
Tm1 Tm 0.000 0.398 0.750 1
Th1 Th 0.000 0.211 0.250 1
```

Total magnetization (μB per atom): 0.000
Energy of formation from the pure elements (eV per atom): 0.1379
Fermi-level density of states (states/eV/cell): 51.2